# 1
Material: Dy3Fe2Ni7
Method: DFT, PBE
State: optimized geometry

Properties
- Size of the total moment: 6.09 μB per cell
- Mass density: 9538 kg/m3
- SG: No. 166
- Raw total energy: -6.282 eV/atom

a b c (Å): 5.000 5.000 8.620
angles (deg): 73.14 73.14 60.00
Element x y z (fractional)
Dy 0.000 0.000 0.000
Dy 0.861 0.861 0.416
Dy 0.139 0.139 0.584
Fe 0.667 0.667 0.998
Fe 0.333 0.333 0.002
Ni 0.500 0.500 0.500
Ni 0.918 0.419 0.244
Ni 0.419 0.918 0.244
Ni 0.419 0.419 0.244
Ni 0.082 0.581 0.756
Ni 0.581 0.581 0.756
Ni 0.581 0.082 0.756


# 2
Material: DyFe4Ni8
Method: DFT, PBE
State: optimized geometry

Properties
- Size of the total moment: 13.86 μB per cell
- Mass density: 8752 kg/m3
- SG: No. 139
- Raw total energy: -6.630 eV/atom

a b c (Å): 4.707 6.326 6.326
angles (deg): 82.04 68.16 68.16
Element x y z (fractional)
Dy 0.000 0.000 0.000
Fe 0.000 0.000 0.500
Fe 0.500 0.000 0.500
Fe 0.000 0.500 0.000
Fe 0.500 0.500 0.000
Ni 0.000 0.353 0.647
Ni 0.000 0.647 0.353
Ni 0.353 0.647 0.647
Ni 0.647 0.353 0.353
Ni 0.500 0.777 0.223
Ni 0.500 0.223 0.777
Ni 0.277 0.223 0.223
Ni 0.723 0.777 0.777


# 3
Material: DyFeNi4
Method: DFT, PBE
State: optimized geometry

Properties
- Size of the total moment: 4.01 μB per cell
- Mass density: 9045 kg/m3
- SG: No. 187
- Raw total energy: -6.285 eV/atom

a b c (Å): 4.943 4.943 3.931
angles (deg): 90.00 90.00 120.00
Element x y z (fractional)
Dy 0.667 0.333 0.000
Fe 0.000 0.000 0.000
Ni 0.333 0.667 0.000
Ni 0.666 0.833 0.500
Ni 0.167 0.833 0.500
Ni 0.167 0.334 0.500


# 4
Material: Dy8FeNi2
Method: DFT, PBE
State: optimized geometry

Properties
- Size of the total moment: 0.00 μB per cell
- Mass density: 9143 kg/m3
- SG: No. 12
- Raw total energy: -5.285 eV/atom

a b c (Å): 4.999 6.593 8.817
angles (deg): 105.59 106.47 90.00
Element x y z (fractional)
Dy 0.409 0.560 0.819
Dy 0.668 0.974 0.337
Dy 0.800 0.678 0.599
Dy 0.965 0.204 0.930
Dy 0.200 0.322 0.401
Dy 0.332 0.026 0.663
Dy 0.591 0.440 0.181
Dy 0.035 0.796 0.070
Fe 0.500 0.000 0.000
Ni 0.812 0.284 0.623
Ni 0.188 0.716 0.377


# 5
Material: DyFeNi
Method: DFT, PBE
State: optimized geometry

Properties
- Size of the total moment: 4.08 μB per cell
- Mass density: 9714 kg/m3
- SG: No. 74
- Raw total energy: -6.510 eV/atom

a b c (Å): 5.136 5.136 5.136
angles (deg): 122.24 119.14 88.83
Element x y z (fractional)
Dy 0.128 0.878 0.250
Dy 0.872 0.122 0.750
Fe 0.500 0.000 0.000
Fe 0.500 0.500 0.500
Ni 0.000 0.500 0.500
Ni 0.500 0.500 0.000


# 6
Material: DyPuFeNi
Method: DFT, PBE
State: optimized geometry

Properties
- Size of the total moment: 3.82 μB per cell
- Mass density: 11526 kg/m3
- SG: No. 216
- Raw total energy: -8.302 eV/atom

a b c (Å): 4.735 4.735 4.735
angles (deg): 60.00 60.00 60.00
Element x y z (fractional)
Ni 0.250 0.250 0.250
Dy 0.000 0.000 0.000
Fe 0.750 0.750 0.750
Pu 0.500 0.500 0.500


| no. | energy of formation (meV per atom) |
| --- | --- |
| 1 | -349 |
| 2 | -115 |
| 3 | -254 |
| 4 | -118 |
| 5 | -228 |
| 6 | -7 |